Entry 1:
Density functional theory data (GGA-PBE) for a relaxed structure of BeNb2AlTc.

Lattice parameters (Å, degrees): 4.4445 4.4445 4.1003 90.00 90.00 90.00
Space group P4/mmm (No. 123)
Asymmetric unit:
Be (0.0000, 0.0000, 0.0000) (multiplicity 1)
Nb (0.0000, 0.5000, 0.0000) (multiplicity 2)
Al (0.5000, 0.5000, 0.5000) (multiplicity 1)
Tc (0.0000, 0.0000, 0.5000) (multiplicity 1)

Energy of formation from the pure elements   155 kJ/mol of formula units

Entry 2:
Density functional theory data (GGA-PBE) for a relaxed structure of YBeNb2Al.

Lattice parameters (Å, degrees): 4.9509 4.9509 4.6719 90.00 90.00 90.00
Space group P4/mmm (No. 123)
Asymmetric unit:
Y (0.0000, 0.0000, 0.0000) (multiplicity 1)
Be (0.0000, 0.0000, 0.5000) (multiplicity 1)
Nb (0.0000, 0.5000, 0.0000) (multiplicity 2)
Al (0.5000, 0.5000, 0.5000) (multiplicity 1)

Energy of formation from the pure elements   926 kJ/mol of formula units

Entry 3:
Density functional theory data (GGA-PBE) for a relaxed structure of NdBeAl.

Lattice parameters (Å, degrees): 4.3691 4.3691 3.7984 90.00 90.00 120.00
Space group P-6m2 (No. 187)
Asymmetric unit:
Nd (0.0000, 0.0000, 0.0000) (multiplicity 1)
Be (0.3333, 0.6667, 0.5000) (multiplicity 1)
Al (0.6667, 0.3333, 0.5000) (multiplicity 1)

E above lowest polymorph   0.000 eV/atom
Energy of formation from the pure elements   -51 kJ/mol of formula units

Entry 4:
Density functional theory data (GGA-PBE) for a relaxed structure of NdBeAl.

Lattice parameters (Å, degrees): 6.3485 6.3485 6.3485 90.00 90.00 90.00
Space group F-43m (No. 216)
Asymmetric unit:
Nd (0.0000, 0.0000, 0.0000) (multiplicity 4)
Be (0.2500, 0.2500, 0.2500) (multiplicity 4)
Al (0.0000, 0.0000, 0.5000) (multiplicity 4)

E above lowest polymorph   0.043 eV/atom
Energy of formation from the pure elements   -39 kJ/mol of formula units

Number 1: spin magnetization 0.0000 μB per atom. Number 2: spin magnetization 0.0000 μB per atom. Number 3: spin magnetization 0.0001 μB per atom. Number 4: spin magnetization 0.0000 μB per atom.